No. 1
Here is an optimized crystal structure of Pm4Te3Se from Alexandria via LeMat-Bulk. Energies are from PBE.

Its density of states at the Fermi level is 0.497 states/eV/atom. Its uncorrected formation energy is -1.51 eV per atom. The calculation puts the total energy at -5.504 eV per atom. The calculation puts the mass density at 7.14 g/cm³.

Lattice parameters (Å, degrees): 7.663 7.663 4.366 90.00 90.00 109.13
Fractional coordinates of all 8 atoms:
Pm 0.225 0.225 0.500
Pm 0.235 0.765 0.000
Pm 0.765 0.235 0.000
Pm 0.775 0.775 0.500
Te 0.000 0.500 0.500
Te 0.500 0.000 0.500
Te 0.500 0.500 0.000
Se 0.000 0.000 0.000



No. 2
Here is an optimized crystal structure of Li2PuAsS4 from Alexandria via LeMat-Bulk. Energies are from PBE.

Its density of states at the Fermi level is 1.206 states/eV/atom. Its uncorrected formation energy is -1.01 eV per atom. The calculation puts the total energy at -5.928 eV per atom. The calculation puts the mass density at 4.89 g/cm³.

Lattice parameters (Å, degrees): 6.499 3.851 6.667 90.00 110.22 90.00
Fractional coordinates of all 8 atoms:
Li 0.000 0.000 0.000
Li 0.000 0.500 0.500
Pu 0.500 0.000 0.500
As 0.500 0.500 0.000
S 0.251 0.500 0.238
S 0.256 0.000 0.765
S 0.744 0.000 0.235
S 0.749 0.500 0.762



No. 3
Here is an optimized crystal structure of Nd4RhAuCl2 from Alexandria via LeMat-Bulk. Energies are from PBE.

Its density of states at the Fermi level is 0.874 states/eV/atom. Its uncorrected formation energy is -1.11 eV per atom. The calculation puts the total energy at -5.284 eV per atom. The calculation puts the mass density at 6.94 g/cm³.

Lattice parameters (Å, degrees): 7.357 4.148 7.853 90.00 108.83 90.00
Fractional coordinates of all 8 atoms:
Nd 0.235 0.000 0.211
Nd 0.236 0.500 0.784
Nd 0.764 0.500 0.216
Nd 0.765 0.000 0.789
Rh 0.000 0.500 0.000
Au 0.500 0.000 0.000
Cl 0.000 0.000 0.500
Cl 0.500 0.500 0.500



No. 4
Here is an optimized crystal structure of BPRhAu from Alexandria via LeMat-Bulk. Energies are from PBE.

Its density of states at the Fermi level is 0.382 states/eV/atom. For the energy relative to the elements, the calculation gives 0.1651 eV per atom. The calculation puts the total energy at -5.514 eV per atom. The calculation puts the mass density at 8.77 g/cm³. The calculation puts the energy above the most stable polymorph in this dataset at 0.220 eV/atom.

Lattice parameters (Å, degrees): 3.090 4.347 4.919 89.14 78.13 89.94
Fractional coordinates of all 4 atoms:
B 0.000 0.000 0.000
P 0.418 0.000 0.239
Rh 0.582 0.993 0.714
Au 0.223 0.497 0.485



No. 5
Here is an optimized crystal structure of Ir2Os5Ru from Alexandria via LeMat-Bulk. Energies are from PBE.

Its density of states at the Fermi level is 0.737 states/eV/atom. For the energy relative to the elements, the calculation gives 0.2308 eV per atom. The calculation puts the total energy at -10.163 eV per atom. The calculation puts the mass density at 20.06 g/cm³.

Lattice parameters (Å, degrees): 4.887 4.917 5.007 95.80 93.81 94.86
Fractional coordinates of all 8 atoms:
Ir 0.000 0.000 0.000
Ir 0.064 0.488 0.810
Os 0.182 0.942 0.508
Os 0.244 0.430 0.313
Os 0.570 0.686 0.728
Os 0.690 0.142 0.436
Os 0.750 0.629 0.236
Ru 0.505 0.196 0.931



No. 6
Here is an optimized crystal structure of Zr2Ni2Hg from Alexandria via LeMat-Bulk. Energies are from PBE.

Its density of states at the Fermi level is 0.740 states/eV/atom. For the energy relative to the elements, the calculation gives -0.1395 eV per atom. The calculation puts the total energy at -5.932 eV per atom. The calculation puts the mass density at 8.96 g/cm³. The calculation puts the energy above the most stable polymorph in this dataset at 0.278 eV/atom.

Lattice parameters (Å, degrees): 8.547 8.547 8.547 157.33 157.33 32.28
Fractional coordinates of all 5 atoms:
Zr 0.125 0.125 0.000
Zr 0.875 0.875 0.000
Ni 0.250 0.750 0.500
Ni 0.750 0.250 0.500
Hg 0.500 0.500 0.000



No. 7
Here is an optimized crystal structure of AsRuRh2 from Alexandria via LeMat-Bulk. Energies are from PBE.

Its density of states at the Fermi level is 1.402 states/eV/atom. For the energy relative to the elements, the calculation gives 0.3055 eV per atom. The calculation puts the total energy at -6.852 eV per atom. The calculation puts the mass density at 10.60 g/cm³.

Lattice parameters (Å, degrees): 2.808 2.808 8.684 90.00 90.00 119.07
Fractional coordinates of all 4 atoms:
As 0.000 0.000 0.000
Ru 0.500 0.500 0.236
Rh 0.000 0.000 0.494
Rh 0.500 0.500 0.763



No. 8
Here is an optimized crystal structure of SrGe2I6 from Alexandria via LeMat-Bulk. Energies are from PBE.

Its density of states at the Fermi level is 0.000 states/eV/atom. Its uncorrected formation energy is -0.77 eV per atom. The calculation puts the total energy at -3.019 eV per atom. The calculation puts the mass density at 4.12 g/cm³. The calculation puts the energy above the most stable polymorph in this dataset at 0.000 eV/atom.

Lattice parameters (Å, degrees): 10.095 10.095 9.494 105.24 105.24 25.46
Fractional coordinates of all 9 atoms:
Sr 0.000 0.000 0.000
Ge 0.329 0.329 0.658
Ge 0.671 0.671 0.342
I 0.171 0.171 0.563
I 0.174 0.174 0.122
I 0.492 0.492 0.744
I 0.508 0.508 0.256
I 0.826 0.826 0.878
I 0.829 0.829 0.437



Q: mass density of number 6 (Zr2Ni2Hg)?
A: 8.96 g/cm³